DFT (SCAN) results for Sm3GaFeS7 at its PBEsol-relaxed geometry.

Results
- ΔE_f (raw) (eV per atom) = -1.7279

CIF file:
```
data_Sm3GaFeS7
_chemical_formula_sum 'Sm6 Ga2 Fe2 S14'
_symmetry_space_group_name_H-M 'P 1'
_symmetry_Int_Tables_number 1
_cell_length_a 9.641
_cell_length_b 9.641
_cell_length_c 6.094
_cell_angle_alpha 90.00
_cell_angle_beta 90.00
_cell_angle_gamma 120.00
loop_
_symmetry_equiv_pos_as_xyz
'x,y,z'
loop_
_atom_site_label
_atom_site_type_symbol
_atom_site_fract_x
_atom_site_fract_y
_atom_site_fract_z
_atom_site_occupancy
Sm1 Sm 0.157 0.781 0.000 1
Sm2 Sm 0.219 0.376 0.000 1
Sm3 Sm 0.376 0.157 0.500 1
Sm4 Sm 0.624 0.843 0.000 1
Sm5 Sm 0.781 0.624 0.500 1
Sm6 Sm 0.843 0.219 0.500 1
Ga1 Ga 0.333 0.667 0.423 1
Ga2 Ga 0.667 0.333 0.923 1
Fe1 Fe 0.000 0.000 0.318 1
Fe2 Fe 0.000 0.000 0.818 1
S1 S 0.086 0.521 0.273 1
S2 S 0.101 0.866 0.580 1
S3 S 0.134 0.234 0.580 1
S4 S 0.234 0.101 0.080 1
S5 S 0.333 0.667 0.789 1
S6 S 0.435 0.914 0.273 1
S7 S 0.479 0.565 0.273 1
S8 S 0.521 0.435 0.773 1
S9 S 0.565 0.086 0.773 1
S10 S 0.667 0.333 0.289 1
S11 S 0.766 0.899 0.580 1
S12 S 0.866 0.766 0.080 1
S13 S 0.899 0.134 0.080 1
S14 S 0.914 0.479 0.773 1
```


DFT (SCAN) results for GaFeSbTe2 at its PBEsol-relaxed geometry.

Results
- ΔE_f (raw) (eV per atom) = 0.4202

CIF file:
```
data_GaFeSbTe2
_chemical_formula_sum 'Ga1 Fe1 Sb1 Te2'
_symmetry_space_group_name_H-M 'P 1'
_symmetry_Int_Tables_number 1
_cell_length_a 5.172
_cell_length_b 5.172
_cell_length_c 4.807
_cell_angle_alpha 90.00
_cell_angle_beta 90.00
_cell_angle_gamma 90.00
loop_
_symmetry_equiv_pos_as_xyz
'x,y,z'
loop_
_atom_site_label
_atom_site_type_symbol
_atom_site_fract_x
_atom_site_fract_y
_atom_site_fract_z
_atom_site_occupancy
Ga1 Ga 0.000 0.000 0.000 1
Fe1 Fe 0.500 0.500 0.500 1
Sb1 Sb 0.500 0.500 0.000 1
Te1 Te 0.000 0.500 0.500 1
Te2 Te 0.500 0.000 0.500 1
```


DFT (SCAN) results for ScGa2Fe2 at its PBEsol-relaxed geometry.

Results
- ΔE_f (kJ per mole of atoms) = -36.3

CIF file:
```
data_ScGa2Fe2
_chemical_formula_sum 'Sc2 Ga4 Fe4'
_symmetry_space_group_name_H-M 'P 1'
_symmetry_Int_Tables_number 1
_cell_length_a 3.624
_cell_length_b 3.624
_cell_length_c 11.191
_cell_angle_alpha 90.00
_cell_angle_beta 90.00
_cell_angle_gamma 90.00
loop_
_symmetry_equiv_pos_as_xyz
'x,y,z'
loop_
_atom_site_label
_atom_site_type_symbol
_atom_site_fract_x
_atom_site_fract_y
_atom_site_fract_z
_atom_site_occupancy
Sc1 Sc 0.000 0.000 0.000 1
Sc2 Sc 0.500 0.500 0.500 1
Ga1 Ga 0.000 0.000 0.391 1
Ga2 Ga 0.000 0.000 0.609 1
Ga3 Ga 0.500 0.500 0.109 1
Ga4 Ga 0.500 0.500 0.891 1
Fe1 Fe 0.000 0.500 0.250 1
Fe2 Fe 0.000 0.500 0.750 1
Fe3 Fe 0.500 0.000 0.250 1
Fe4 Fe 0.500 0.000 0.750 1
```


DFT (SCAN) results for Sc3Ga6Fe2 at its PBEsol-relaxed geometry.

Results
- ΔE_f (kJ per mole of atoms) = -52.9

CIF file:
```
data_Sc3Ga6Fe2
_chemical_formula_sum 'Sc12 Ga24 Fe8'
_symmetry_space_group_name_H-M 'P 1'
_symmetry_Int_Tables_number 1
_cell_length_a 7.997
_cell_length_b 8.273
_cell_length_c 10.253
_cell_angle_alpha 90.00
_cell_angle_beta 90.00
_cell_angle_gamma 90.00
loop_
_symmetry_equiv_pos_as_xyz
'x,y,z'
loop_
_atom_site_label
_atom_site_type_symbol
_atom_site_fract_x
_atom_site_fract_y
_atom_site_fract_z
_atom_site_occupancy
Sc1 Sc 0.039 0.250 0.064 1
Sc2 Sc 0.068 0.552 0.639 1
Sc3 Sc 0.068 0.948 0.639 1
Sc4 Sc 0.432 0.052 0.139 1
Sc5 Sc 0.432 0.448 0.139 1
Sc6 Sc 0.461 0.750 0.564 1
Sc7 Sc 0.539 0.250 0.436 1
Sc8 Sc 0.568 0.552 0.861 1
Sc9 Sc 0.568 0.948 0.861 1
Sc10 Sc 0.932 0.052 0.361 1
Sc11 Sc 0.932 0.448 0.361 1
Sc12 Sc 0.961 0.750 0.936 1
Ga1 Ga 0.099 0.750 0.408 1
Ga2 Ga 0.115 0.589 0.157 1
Ga3 Ga 0.115 0.911 0.157 1
Ga4 Ga 0.204 0.006 0.912 1
Ga5 Ga 0.204 0.494 0.912 1
Ga6 Ga 0.220 0.250 0.284 1
Ga7 Ga 0.280 0.750 0.784 1
Ga8 Ga 0.296 0.506 0.412 1
Ga9 Ga 0.296 0.994 0.412 1
Ga10 Ga 0.385 0.089 0.657 1
Ga11 Ga 0.385 0.411 0.657 1
Ga12 Ga 0.401 0.250 0.908 1
Ga13 Ga 0.599 0.750 0.092 1
Ga14 Ga 0.615 0.589 0.343 1
Ga15 Ga 0.615 0.911 0.343 1
Ga16 Ga 0.704 0.006 0.588 1
Ga17 Ga 0.704 0.494 0.588 1
Ga18 Ga 0.720 0.250 0.216 1
Ga19 Ga 0.780 0.750 0.716 1
Ga20 Ga 0.796 0.506 0.088 1
Ga21 Ga 0.796 0.994 0.088 1
Ga22 Ga 0.885 0.089 0.843 1
Ga23 Ga 0.885 0.411 0.843 1
Ga24 Ga 0.901 0.250 0.592 1
Fe1 Fe 0.138 0.250 0.764 1
Fe2 Fe 0.183 0.250 0.522 1
Fe3 Fe 0.317 0.750 0.022 1
Fe4 Fe 0.362 0.750 0.264 1
Fe5 Fe 0.638 0.250 0.736 1
Fe6 Fe 0.683 0.250 0.978 1
Fe7 Fe 0.817 0.750 0.478 1
Fe8 Fe 0.862 0.750 0.236 1
```


DFT (SCAN) results for ScGa5Fe at its PBEsol-relaxed geometry.

Results
- ΔE_f (kJ per mole of atoms) = -39.7

CIF file:
```
data_ScGa5Fe
_chemical_formula_sum 'Sc1 Ga5 Fe1'
_symmetry_space_group_name_H-M 'P 1'
_symmetry_Int_Tables_number 1
_cell_length_a 4.072
_cell_length_b 4.072
_cell_length_c 6.578
_cell_angle_alpha 90.00
_cell_angle_beta 90.00
_cell_angle_gamma 90.00
loop_
_symmetry_equiv_pos_as_xyz
'x,y,z'
loop_
_atom_site_label
_atom_site_type_symbol
_atom_site_fract_x
_atom_site_fract_y
_atom_site_fract_z
_atom_site_occupancy
Sc1 Sc 0.000 0.000 0.000 1
Ga1 Ga 0.000 0.500 0.304 1
Ga2 Ga 0.000 0.500 0.696 1
Ga3 Ga 0.500 0.000 0.304 1
Ga4 Ga 0.500 0.000 0.696 1
Ga5 Ga 0.500 0.500 0.000 1
Fe1 Fe 0.000 0.000 0.500 1
```


DFT (SCAN) results for Ga3FeSi at its PBEsol-relaxed geometry.

Results
- ΔE_f (raw) (eV per atom) = 0.5013

CIF file:
```
data_Ga3FeSi
_chemical_formula_sum 'Ga3 Fe1 Si1'
_symmetry_space_group_name_H-M 'P 1'
_symmetry_Int_Tables_number 1
_cell_length_a 4.493
_cell_length_b 4.493
_cell_length_c 4.493
_cell_angle_alpha 90.00
_cell_angle_beta 90.00
_cell_angle_gamma 90.00
loop_
_symmetry_equiv_pos_as_xyz
'x,y,z'
loop_
_atom_site_label
_atom_site_type_symbol
_atom_site_fract_x
_atom_site_fract_y
_atom_site_fract_z
_atom_site_occupancy
Ga1 Ga 0.000 0.000 0.500 1
Ga2 Ga 0.000 0.500 0.000 1
Ga3 Ga 0.500 0.000 0.000 1
Fe1 Fe 0.000 0.000 0.000 1
Si1 Si 0.500 0.500 0.500 1
```


DFT (SCAN) results for SrGa3Fe at its PBEsol-relaxed geometry.

Results
- ΔE_f (kJ per mole of atoms) = 155.8

CIF file:
```
data_SrGa3Fe
_chemical_formula_sum 'Sr1 Ga3 Fe1'
_symmetry_space_group_name_H-M 'P 1'
_symmetry_Int_Tables_number 1
_cell_length_a 5.503
_cell_length_b 5.503
_cell_length_c 5.503
_cell_angle_alpha 90.00
_cell_angle_beta 90.00
_cell_angle_gamma 90.00
loop_
_symmetry_equiv_pos_as_xyz
'x,y,z'
loop_
_atom_site_label
_atom_site_type_symbol
_atom_site_fract_x
_atom_site_fract_y
_atom_site_fract_z
_atom_site_occupancy
Sr1 Sr 0.000 0.000 0.000 1
Ga1 Ga 0.000 0.000 0.500 1
Ga2 Ga 0.000 0.500 0.000 1
Ga3 Ga 0.500 0.000 0.000 1
Fe1 Fe 0.500 0.500 0.500 1
```


DFT (SCAN) results for SrGa3Fe at its PBEsol-relaxed geometry.

Results
- ΔE_f (kJ per mole of atoms) = -34.4

CIF file:
```
data_SrGa3Fe
_chemical_formula_sum 'Sr1 Ga3 Fe1'
_symmetry_space_group_name_H-M 'P 1'
_symmetry_Int_Tables_number 1
_cell_length_a 4.580
_cell_length_b 4.580
_cell_length_c 4.580
_cell_angle_alpha 90.00
_cell_angle_beta 90.00
_cell_angle_gamma 90.00
loop_
_symmetry_equiv_pos_as_xyz
'x,y,z'
loop_
_atom_site_label
_atom_site_type_symbol
_atom_site_fract_x
_atom_site_fract_y
_atom_site_fract_z
_atom_site_occupancy
Sr1 Sr 0.000 0.000 0.000 1
Ga1 Ga 0.000 0.500 0.500 1
Ga2 Ga 0.500 0.000 0.500 1
Ga3 Ga 0.500 0.500 0.000 1
Fe1 Fe 0.500 0.500 0.500 1
```


DFT (SCAN) results for SrGaFe3 at its PBEsol-relaxed geometry.

Results
- ΔE_f (kJ per mole of atoms) = 68.8

CIF file:
```
data_SrGaFe3
_chemical_formula_sum 'Sr1 Ga1 Fe3'
_symmetry_space_group_name_H-M 'P 1'
_symmetry_Int_Tables_number 1
_cell_length_a 4.575
_cell_length_b 4.575
_cell_length_c 4.575
_cell_angle_alpha 90.00
_cell_angle_beta 90.00
_cell_angle_gamma 90.00
loop_
_symmetry_equiv_pos_as_xyz
'x,y,z'
loop_
_atom_site_label
_atom_site_type_symbol
_atom_site_fract_x
_atom_site_fract_y
_atom_site_fract_z
_atom_site_occupancy
Sr1 Sr 0.000 0.000 0.000 1
Ga1 Ga 0.500 0.500 0.500 1
Fe1 Fe 0.000 0.500 0.500 1
Fe2 Fe 0.500 0.000 0.500 1
Fe3 Fe 0.500 0.500 0.000 1
```


DFT (SCAN) results for SrZnGaFe2 at its PBEsol-relaxed geometry.

Results
- ΔE_f (kJ per mole of atoms) = 37.4

CIF file:
```
data_SrZnGaFe2
_chemical_formula_sum 'Sr1 Zn1 Ga1 Fe2'
_symmetry_space_group_name_H-M 'P 1'
_symmetry_Int_Tables_number 1
_cell_length_a 4.646
_cell_length_b 4.646
_cell_length_c 4.623
_cell_angle_alpha 90.00
_cell_angle_beta 90.00
_cell_angle_gamma 90.00
loop_
_symmetry_equiv_pos_as_xyz
'x,y,z'
loop_
_atom_site_label
_atom_site_type_symbol
_atom_site_fract_x
_atom_site_fract_y
_atom_site_fract_z
_atom_site_occupancy
Sr1 Sr 0.000 0.000 0.000 1
Zn1 Zn 0.500 0.500 0.000 1
Ga1 Ga 0.500 0.500 0.500 1
Fe1 Fe 0.000 0.500 0.500 1
Fe2 Fe 0.500 0.000 0.500 1
```